NaIrCl2: optimized geometry, GGA-PBE.

Structure (POSCAR):
```
NaIrCl2
1.0
0.000 3.326 3.326
3.326 0.000 3.326
3.326 3.326 0.000
Cl Ir Na
2 1 1
Direct
0.750 0.750 0.750
0.250 0.250 0.250
0.500 0.500 0.500
0.000 0.000 0.000
```

Properties
As for the final energy: -3.349 eV per atom. Its symmetry is No. 225. The value obtained for the density of states at the Fermi level is 2.40 states/eV/cell. The calculation puts the energy above the lowest structure with this stoichiometry at 399 meV per atom. The value obtained for the total magnetization is 2.0 Bohr magnetons per cell. As for the formation energy from raw total energies: 0.48 eV per formula unit.